Record 1
Tb8Co2Pt: relaxed, PBE.

**Calculated formation energy**: -0.232 eV/atom
**Space-group type**: No. 8

```
data_Tb8Co2Pt
_cell_length_a 7.3968
_cell_length_b 7.3968
_cell_length_c 6.0626
_cell_angle_alpha 99.75
_cell_angle_beta 99.75
_cell_angle_gamma 112.97
_space_group_name_H-M_alt 'P 1'
_space_group_IT_number 1
_space_group_name_Hall 'P 1'
loop_
_atom_site_label
_atom_site_fract_x
_atom_site_fract_y
_atom_site_fract_z
Tb1 0.0000 0.0000 0.0000
Tb2 0.0202 0.2883 0.5851
Tb3 0.1450 0.5790 0.1891
Tb4 0.2883 0.0202 0.5851
Tb5 0.4409 0.7080 0.7879
Tb6 0.5790 0.1450 0.1891
Tb7 0.7080 0.4409 0.7879
Tb8 0.7272 0.7272 0.3792
Co1 0.0553 0.6761 0.6916
Co2 0.6761 0.0553 0.6916
Pt1 0.3620 0.3620 0.3607
```

Record 2
CsAlGe: relaxed, PBE.

**Calculated formation energy**: -0.176 eV/atom
**Space-group type**: No. 2

```
data_CsAlGe
_cell_length_a 4.3075
_cell_length_b 4.3090
_cell_length_c 12.9094
_cell_angle_alpha 90.38
_cell_angle_beta 97.95
_cell_angle_gamma 90.00
_space_group_name_H-M_alt 'P 1'
_space_group_IT_number 1
_space_group_name_Hall 'P 1'
loop_
_atom_site_label
_atom_site_fract_x
_atom_site_fract_y
_atom_site_fract_z
Cs1 0.1383 0.2447 0.2307
Cs2 0.8617 0.7553 0.7693
Al1 0.2501 0.7499 0.5000
Al2 0.7499 0.2501 0.5000
Ge1 0.3001 0.2523 0.6211
Ge2 0.6999 0.7477 0.3789
```

Record 3
Ir2Ru2W: relaxed, PBE.

**Calculated formation energy**: 0.250 eV/atom
**Space-group type**: No. 71
**E above lowest polymorph**: 0.344 eV/atom

```
data_Ir2Ru2W
_cell_length_a 3.9686
_cell_length_b 6.1731
_cell_length_c 6.2912
_cell_angle_alpha 90.00
_cell_angle_beta 90.00
_cell_angle_gamma 90.00
_space_group_name_H-M_alt 'P 1'
_space_group_IT_number 1
_space_group_name_Hall 'P 1'
loop_
_atom_site_label
_atom_site_fract_x
_atom_site_fract_y
_atom_site_fract_z
Ir1 0.0000 0.0000 0.2018
Ir2 0.0000 0.0000 0.7982
Ir3 0.5000 0.5000 0.2982
Ir4 0.5000 0.5000 0.7018
Ru1 0.0000 0.2971 0.5000
Ru2 0.0000 0.7029 0.5000
Ru3 0.5000 0.2029 0.0000
Ru4 0.5000 0.7971 0.0000
W1 0.0000 0.5000 0.0000
W2 0.5000 0.0000 0.5000
```

no.,E (eV/atom),N(E_F) (states/eV per atom)
1,-5.441,1.03
2,-3.247,0.29
3,-9.595,0.67